Version 1
Compound: BaRhC
Source: Alexandria via LeMat-Bulk
Functional: PBE
Structure: relaxed

## Properties
- Density of states at the Fermi level: 1.35 states/eV per cell
- Calculated volume: 19.2 Å³/atom
- Total magnetization: 0.00 μB/cell

Unit cell a=3.4755 b=3.4755 c=5.4938 alpha=90.00 beta=90.00 gamma=120.00
Space group P3m1 (No. 156)
Asymmetric unit:
1 Ba 0.0000 0.0000 0.0000
2 Rh 0.6667 0.3333 0.5221
3 C 0.3333 0.6667 0.6044

***

Version 2
Compound: BaRhC
Source: Alexandria via LeMat-Bulk
Functional: PBE
Structure: relaxed

## Properties
- Density of states at the Fermi level: 8.58 states/eV per cell
- Calculated volume: 18.8 Å³/atom
- Total magnetization: 0.00 μB/cell

Unit cell a=6.082 b=6.082 c=6.082 alpha=90.00 beta=90.00 gamma=90.00
Space group P2_13 (No. 198)
Asymmetric unit:
1 Ba 0.118 0.118 0.118
2 Rh 0.103 0.603 0.897
3 C 0.154 0.346 0.654

***

Name the most stable of them. version 2.

***

Version 1
Compound: BaRuC3
Source: Alexandria via LeMat-Bulk
Functional: PBE
Structure: relaxed

## Properties
- Density of states at the Fermi level: 4.44 states/eV per cell
- Calculated volume: 14.2 Å³/atom
- Total magnetization: 0.00 μB/cell

Unit cell a=4.137 b=4.137 c=4.137 alpha=90.00 beta=90.00 gamma=90.00
Space group Pm-3m (No. 221)
Asymmetric unit:
1 Ba 0.000 0.000 0.000
2 Ru 0.500 0.500 0.500
3 C 0.000 0.500 0.500

***

Version 2
Compound: BaRuC3
Source: Alexandria via LeMat-Bulk
Functional: PBE
Structure: relaxed

## Properties
- Density of states at the Fermi level: 7.46 states/eV per cell
- Calculated volume: 18.2 Å³/atom
- Total magnetization: 0.00 μB/cell

Unit cell a=4.501 b=4.501 c=4.501 alpha=90.00 beta=90.00 gamma=90.00
Space group Pm-3m (No. 221)
Asymmetric unit:
1 Ba 0.000 0.000 0.000
2 Ru 0.500 0.500 0.500
3 C 0.000 0.000 0.500

***

Name the most stable of them. version 1.

***

Version 1
Compound: BaRuC2
Source: Alexandria via LeMat-Bulk
Functional: PBE
Structure: relaxed

## Properties
- Density of states at the Fermi level: 0.48 states/eV per cell
- Calculated volume: 18.7 Å³/atom
- Total magnetization: 0.00 μB/cell

Unit cell a=5.170 b=5.170 c=11.218 alpha=90.00 beta=90.00 gamma=90.00
Space group I4_1/amd (No. 141, origin choice 2)
Asymmetric unit:
1 Ba 0.000 0.250 0.375
2 Ru 0.000 0.250 0.875
3 C 0.000 0.000 0.000

***

Version 2
Compound: BaRuC2
Source: Alexandria via LeMat-Bulk
Functional: PBE
Structure: relaxed

## Properties
- Density of states at the Fermi level: 7.08 states/eV per cell
- Calculated volume: 15.0 Å³/atom
- Total magnetization: 0.00 μB/cell

Unit cell a=6.213 b=6.213 c=6.213 alpha=90.00 beta=90.00 gamma=90.00
Space group Fm-3m (No. 225)
Asymmetric unit:
1 Ba 0.000 0.000 0.000
2 Ru 0.000 0.000 0.500
3 C 0.250 0.250 0.250

***

Name the most stable of them. version 1.

***

Version 1
Compound: BaC3S
Source: Alexandria via LeMat-Bulk
Functional: PBE
Structure: relaxed

## Properties
- Density of states at the Fermi level: 5.80 states/eV per cell
- Calculated volume: 28.4 Å³/atom
- Total magnetization: 4.34 μB/cell

Unit cell a=5.216 b=5.216 c=5.216 alpha=90.00 beta=90.00 gamma=90.00
Space group Pm-3m (No. 221)
Asymmetric unit:
1 Ba 0.000 0.000 0.000
2 C 0.000 0.000 0.500
3 S 0.500 0.500 0.500

***

Version 2
Compound: BaC3S
Source: Alexandria via LeMat-Bulk
Functional: PBE
Structure: relaxed

## Properties
- Density of states at the Fermi level: 3.21 states/eV per cell
- Calculated volume: 13.6 Å³/atom
- Total magnetization: 0.00 μB/cell

Unit cell a=4.078 b=4.078 c=4.078 alpha=90.00 beta=90.00 gamma=90.00
Space group Pm-3m (No. 221)
Asymmetric unit:
1 Ba 0.000 0.000 0.000
2 C 0.000 0.500 0.500
3 S 0.500 0.500 0.500

***

Name the most stable of them. version 2.